Model w:
# SrTaAl | the Open Quantum Materials Database | GGA-PBE | optimized geometry
data_SrTaAl
_cell_length_a 6.9210
_cell_length_b 6.9210
_cell_length_c 6.9210
_cell_angle_alpha 90.00
_cell_angle_beta 90.00
_cell_angle_gamma 90.00
_space_group_name_H-M_alt 'P 1'
_space_group_IT_number 1
loop_
_space_group_symop_operation_xyz
'x,y,z'
loop_
_atom_site_label
_atom_site_type_symbol
_atom_site_fract_x
_atom_site_fract_y
_atom_site_fract_z
_atom_site_occupancy
Sr1 Sr 0.0000 0.0000 0.0000 1
Sr2 Sr 0.0000 0.5000 0.5000 1
Sr3 Sr 0.5000 0.0000 0.5000 1
Sr4 Sr 0.5000 0.5000 0.0000 1
Ta1 Ta 0.0000 0.0000 0.5000 1
Ta2 Ta 0.0000 0.5000 0.0000 1
Ta3 Ta 0.5000 0.0000 0.0000 1
Ta4 Ta 0.5000 0.5000 0.5000 1
Al1 Al 0.2500 0.2500 0.2500 1
Al2 Al 0.2500 0.7500 0.7500 1
Al3 Al 0.7500 0.2500 0.7500 1
Al4 Al 0.7500 0.7500 0.2500 1
# total magnetization: 6.0 μB per cell


Model x:
# SrTaAl | the Open Quantum Materials Database | GGA-PBE | optimized geometry
data_SrTaAl
_cell_length_a 7.1324
_cell_length_b 7.1324
_cell_length_c 7.1324
_cell_angle_alpha 90.00
_cell_angle_beta 90.00
_cell_angle_gamma 90.00
_space_group_name_H-M_alt 'P 1'
_space_group_IT_number 1
loop_
_space_group_symop_operation_xyz
'x,y,z'
loop_
_atom_site_label
_atom_site_type_symbol
_atom_site_fract_x
_atom_site_fract_y
_atom_site_fract_z
_atom_site_occupancy
Sr1 Sr 0.0000 0.0000 0.0000 1
Sr2 Sr 0.0000 0.5000 0.5000 1
Sr3 Sr 0.5000 0.0000 0.5000 1
Sr4 Sr 0.5000 0.5000 0.0000 1
Ta1 Ta 0.2500 0.2500 0.2500 1
Ta2 Ta 0.2500 0.7500 0.7500 1
Ta3 Ta 0.7500 0.2500 0.7500 1
Ta4 Ta 0.7500 0.7500 0.2500 1
Al1 Al 0.2500 0.2500 0.7500 1
Al2 Al 0.2500 0.7500 0.2500 1
Al3 Al 0.7500 0.2500 0.2500 1
Al4 Al 0.7500 0.7500 0.7500 1
# total magnetization: 9.2 μB per cell


The structure with the greatest stability is model w.


Model w:
# Ta10Al3 | the Open Quantum Materials Database | GGA-PBE | optimized geometry
data_Ta10Al3
_cell_length_a 10.0889
_cell_length_b 10.0889
_cell_length_c 10.0889
_cell_angle_alpha 30.66
_cell_angle_beta 30.66
_cell_angle_gamma 30.66
_space_group_name_H-M_alt 'P 1'
_space_group_IT_number 1
loop_
_space_group_symop_operation_xyz
'x,y,z'
loop_
_atom_site_label
_atom_site_type_symbol
_atom_site_fract_x
_atom_site_fract_y
_atom_site_fract_z
_atom_site_occupancy
Ta1 Ta 0.0876 0.5917 0.5917 1
Ta2 Ta 0.1493 0.1493 0.1493 1
Ta3 Ta 0.3337 0.3337 0.3337 1
Ta4 Ta 0.4083 0.4083 0.9124 1
Ta5 Ta 0.4083 0.9124 0.4083 1
Ta6 Ta 0.5917 0.0876 0.5917 1
Ta7 Ta 0.5917 0.5917 0.0875 1
Ta8 Ta 0.6663 0.6663 0.6663 1
Ta9 Ta 0.8507 0.8507 0.8507 1
Ta10 Ta 0.9124 0.4083 0.4083 1
Al1 Al 0.0467 0.0467 0.0467 1
Al2 Al 0.5000 0.5000 0.5000 1
Al3 Al 0.9533 0.9533 0.9533 1
# total magnetization: 0.0 μB per cell


Model x:
# Ta10Al3 | the Open Quantum Materials Database | GGA-PBE | optimized geometry
data_Ta10Al3
_cell_length_a 9.9368
_cell_length_b 9.9368
_cell_length_c 9.9368
_cell_angle_alpha 31.87
_cell_angle_beta 31.87
_cell_angle_gamma 31.87
_space_group_name_H-M_alt 'P 1'
_space_group_IT_number 1
loop_
_space_group_symop_operation_xyz
'x,y,z'
loop_
_atom_site_label
_atom_site_type_symbol
_atom_site_fract_x
_atom_site_fract_y
_atom_site_fract_z
_atom_site_occupancy
Ta1 Ta 0.0465 0.0465 0.0465 1
Ta2 Ta 0.0871 0.5920 0.5920 1
Ta3 Ta 0.3331 0.3331 0.3331 1
Ta4 Ta 0.4080 0.4080 0.9129 1
Ta5 Ta 0.4080 0.9129 0.4080 1
Ta6 Ta 0.5920 0.0871 0.5920 1
Ta7 Ta 0.5920 0.5920 0.0871 1
Ta8 Ta 0.6669 0.6669 0.6669 1
Ta9 Ta 0.9129 0.4080 0.4080 1
Ta10 Ta 0.9535 0.9535 0.9535 1
Al1 Al 0.1473 0.1473 0.1473 1
Al2 Al 0.5000 0.5000 0.5000 1
Al3 Al 0.8527 0.8527 0.8527 1
# total magnetization: 0.8 μB per cell


Model y:
# Ta10Al3 | the Open Quantum Materials Database | GGA-PBE | optimized geometry
data_Ta10Al3
_cell_length_a 9.8563
_cell_length_b 9.8563
_cell_length_c 9.8563
_cell_angle_alpha 32.31
_cell_angle_beta 32.31
_cell_angle_gamma 32.31
_space_group_name_H-M_alt 'P 1'
_space_group_IT_number 1
loop_
_space_group_symop_operation_xyz
'x,y,z'
loop_
_atom_site_label
_atom_site_type_symbol
_atom_site_fract_x
_atom_site_fract_y
_atom_site_fract_z
_atom_site_occupancy
Ta1 Ta 0.0508 0.0508 0.0508 1
Ta2 Ta 0.0832 0.5897 0.5897 1
Ta3 Ta 0.1475 0.1475 0.1475 1
Ta4 Ta 0.4103 0.4103 0.9168 1
Ta5 Ta 0.4103 0.9168 0.4103 1
Ta6 Ta 0.5897 0.0832 0.5897 1
Ta7 Ta 0.5897 0.5897 0.0832 1
Ta8 Ta 0.8525 0.8525 0.8525 1
Ta9 Ta 0.9168 0.4103 0.4103 1
Ta10 Ta 0.9492 0.9492 0.9492 1
Al1 Al 0.3338 0.3338 0.3338 1
Al2 Al 0.5000 0.5000 0.5000 1
Al3 Al 0.6662 0.6662 0.6662 1
# total magnetization: 0.0 μB per cell


The structure with the greatest stability is model w.


Model w:
# Ta5Al7 | the Open Quantum Materials Database | GGA-PBE | optimized geometry
data_Ta5Al7
_cell_length_a 5.3548
_cell_length_b 5.3548
_cell_length_c 16.9732
_cell_angle_alpha 90.00
_cell_angle_beta 90.00
_cell_angle_gamma 120.00
_space_group_name_H-M_alt 'P 1'
_space_group_IT_number 1
loop_
_space_group_symop_operation_xyz
'x,y,z'
loop_
_atom_site_label
_atom_site_type_symbol
_atom_site_fract_x
_atom_site_fract_y
_atom_site_fract_z
_atom_site_occupancy
Ta1 Ta 0.1647 0.3294 0.2500 1
Ta2 Ta 0.1647 0.8353 0.2500 1
Ta3 Ta 0.3294 0.1647 0.7500 1
Ta4 Ta 0.3333 0.6667 0.6470 1
Ta5 Ta 0.3333 0.6667 0.8530 1
Ta6 Ta 0.6667 0.3333 0.1470 1
Ta7 Ta 0.6667 0.3333 0.3530 1
Ta8 Ta 0.6706 0.8353 0.2500 1
Ta9 Ta 0.8353 0.1647 0.7500 1
Ta10 Ta 0.8353 0.6706 0.7500 1
Al1 Al 0.0000 0.0000 0.1037 1
Al2 Al 0.0000 0.0000 0.3963 1
Al3 Al 0.0000 0.0000 0.6037 1
Al4 Al 0.0000 0.0000 0.8963 1
Al5 Al 0.0000 0.5000 0.0000 1
Al6 Al 0.0000 0.5000 0.5000 1
Al7 Al 0.3333 0.6667 0.1221 1
Al8 Al 0.3333 0.6667 0.3779 1
Al9 Al 0.5000 0.0000 0.0000 1
Al10 Al 0.5000 0.0000 0.5000 1
Al11 Al 0.5000 0.5000 0.0000 1
Al12 Al 0.5000 0.5000 0.5000 1
Al13 Al 0.6667 0.3333 0.6221 1
Al14 Al 0.6667 0.3333 0.8779 1
# total magnetization: 0.0 μB per cell


Model x:
# Ta5Al7 | the Open Quantum Materials Database | GGA-PBE | optimized geometry
data_Ta5Al7
_cell_length_a 5.3572
_cell_length_b 5.3572
_cell_length_c 17.9185
_cell_angle_alpha 90.00
_cell_angle_beta 90.00
_cell_angle_gamma 120.00
_space_group_name_H-M_alt 'P 1'
_space_group_IT_number 1
loop_
_space_group_symop_operation_xyz
'x,y,z'
loop_
_atom_site_label
_atom_site_type_symbol
_atom_site_fract_x
_atom_site_fract_y
_atom_site_fract_z
_atom_site_occupancy
Ta1 Ta 0.1668 0.3336 0.2500 1
Ta2 Ta 0.1668 0.8332 0.2500 1
Ta3 Ta 0.3333 0.6667 0.1199 1
Ta4 Ta 0.3333 0.6667 0.3801 1
Ta5 Ta 0.3336 0.1668 0.7500 1
Ta6 Ta 0.6664 0.8332 0.2500 1
Ta7 Ta 0.6667 0.3333 0.6199 1
Ta8 Ta 0.6667 0.3333 0.8801 1
Ta9 Ta 0.8332 0.1668 0.7500 1
Ta10 Ta 0.8332 0.6664 0.7500 1
Al1 Al 0.0000 0.0000 0.1059 1
Al2 Al 0.0000 0.0000 0.3941 1
Al3 Al 0.0000 0.0000 0.6059 1
Al4 Al 0.0000 0.0000 0.8941 1
Al5 Al 0.0000 0.5000 0.0000 1
Al6 Al 0.0000 0.5000 0.5000 1
Al7 Al 0.3333 0.6667 0.6634 1
Al8 Al 0.3333 0.6667 0.8366 1
Al9 Al 0.5000 0.0000 0.0000 1
Al10 Al 0.5000 0.0000 0.5000 1
Al11 Al 0.5000 0.5000 0.0000 1
Al12 Al 0.5000 0.5000 0.5000 1
Al13 Al 0.6667 0.3333 0.1634 1
Al14 Al 0.6667 0.3333 0.3366 1
# total magnetization: 0.0 μB per cell


Model y:
# Ta5Al7 | the Open Quantum Materials Database | GGA-PBE | optimized geometry
data_Ta5Al7
_cell_length_a 5.3798
_cell_length_b 5.3798
_cell_length_c 17.8307
_cell_angle_alpha 90.00
_cell_angle_beta 90.00
_cell_angle_gamma 120.00
_space_group_name_H-M_alt 'P 1'
_space_group_IT_number 1
loop_
_space_group_symop_operation_xyz
'x,y,z'
loop_
_atom_site_label
_atom_site_type_symbol
_atom_site_fract_x
_atom_site_fract_y
_atom_site_fract_z
_atom_site_occupancy
Ta1 Ta 0.0000 0.5000 0.0000 1
Ta2 Ta 0.0000 0.5000 0.5000 1
Ta3 Ta 0.3333 0.6667 0.1275 1
Ta4 Ta 0.3333 0.6667 0.3725 1
Ta5 Ta 0.5000 0.0000 0.0000 1
Ta6 Ta 0.5000 0.0000 0.5000 1
Ta7 Ta 0.5000 0.5000 0.0000 1
Ta8 Ta 0.5000 0.5000 0.5000 1
Ta9 Ta 0.6667 0.3333 0.6275 1
Ta10 Ta 0.6667 0.3333 0.8725 1
Al1 Al 0.0000 0.0000 0.0811 1
Al2 Al 0.0000 0.0000 0.4189 1
Al3 Al 0.0000 0.0000 0.5811 1
Al4 Al 0.0000 0.0000 0.9189 1
Al5 Al 0.1623 0.3246 0.2500 1
Al6 Al 0.1623 0.8377 0.2500 1
Al7 Al 0.3246 0.1623 0.7500 1
Al8 Al 0.3333 0.6667 0.6442 1
Al9 Al 0.3333 0.6667 0.8558 1
Al10 Al 0.6667 0.3333 0.1442 1
Al11 Al 0.6667 0.3333 0.3558 1
Al12 Al 0.6754 0.8377 0.2500 1
Al13 Al 0.8377 0.1623 0.7500 1
Al14 Al 0.8377 0.6754 0.7500 1
# total magnetization: 0.0 μB per cell


The structure with the greatest stability is model w.